1.
This record from Alexandria describes a relaxed MgAg2Se crystal. The functional is GGA-PBE.

Values from the calculation:
**Total magnetization**: 0.000 μB per cell
**Space group**: I-42d
**E_form (uncorrected)**: -0.21 eV/atom
**Energy above the lowest structure with this stoichiometry**: 11.09 kJ per mole of atoms
**Density**: 6.41 g cm⁻³

Lattice parameters (Å, degrees): 3.918 3.918 11.122 79.86 79.86 90.00
Fractional coordinates of all 8 atoms:
1 Mg 0.500 0.500 0.000
2 Mg 0.250 0.750 0.500
3 Se 0.000 0.000 0.000
4 Se 0.750 0.250 0.500
5 Ag 0.622 0.125 0.250
6 Ag 0.128 0.625 0.250
7 Ag 0.375 0.378 0.750
8 Ag 0.875 0.872 0.750

---

2.
This record from Alexandria describes a relaxed MgAg2Se crystal. The functional is GGA-PBE.

Values from the calculation:
**Total magnetization**: 0.000 μB per cell
**Space group**: Amm2
**E_form (uncorrected)**: -0.32 eV/atom
**Energy above the lowest structure with this stoichiometry**: 0.00 kJ per mole of atoms
**Density**: 6.46 g cm⁻³

Lattice parameters (Å, degrees): 3.574 3.633 6.568 73.93 90.00 90.00
Fractional coordinates of all 4 atoms:
1 Mg 0.000 0.548 0.528
2 Se 0.500 0.971 0.683
3 Ag 0.000 0.790 0.045
4 Ag 0.500 0.191 0.243

---

3.
This record from Alexandria describes a relaxed MgAgSe4 crystal. The functional is GGA-PBE.

Values from the calculation:
**Total magnetization**: 0.000 μB per cell
**Space group**: F-43m
**E_form (uncorrected)**: 0.32 eV/atom
**Density**: 5.52 g cm⁻³

Lattice parameters (Å, degrees): 5.755 5.755 5.755 60.00 60.00 60.00
Fractional coordinates of all 6 atoms:
1 Mg 0.000 0.000 0.000
2 Ag 0.750 0.750 0.750
3 Se 0.875 0.375 0.375
4 Se 0.375 0.375 0.875
5 Se 0.375 0.875 0.375
6 Se 0.375 0.375 0.375